1.
Compound: CeCuAs2O8
Source: the Alexandria database
Functional: GGA-PBE
Structure: relaxed

raw formation energy: -147.26 kJ per mole of atoms

CIF file:
```
data_CeCuAs2O8
_chemical_formula_sum 'Ce2 Cu2 As4 O16'
_symmetry_space_group_name_H-M 'I -4 m 2'
_symmetry_Int_Tables_number 119
_symmetry_space_group_name_Hall 'I -4 -2'
_cell_length_a 6.9804
_cell_length_b 6.9804
_cell_length_c 6.4745
_cell_angle_alpha 90.00
_cell_angle_beta 90.00
_cell_angle_gamma 90.00
loop_
_atom_site_label
_atom_site_type_symbol
_atom_site_fract_x
_atom_site_fract_y
_atom_site_fract_z
_atom_site_occupancy
Ce1 Ce 0.0000 0.0000 0.0000 1
Cu1 Cu 0.0000 0.5000 0.2500 1
As1 As 0.0000 0.0000 0.5000 1
As2 As 0.0000 0.5000 0.7500 1
O1 O 0.0000 0.1871 0.3226 1
O2 O 0.0000 0.3137 0.9212 1
```


2.
Compound: RbHg2Pd
Source: the Alexandria database
Functional: GGA-PBE
Structure: relaxed

ΔH_f (0 K): -0.096 eV/atom
offset from the most stable computed form: 106 meV/atom

CIF file:
```
data_RbHg2Pd
_chemical_formula_sum 'Rb4 Hg8 Pd4'
_symmetry_space_group_name_H-M 'I -4 2 d'
_symmetry_Int_Tables_number 122
_symmetry_space_group_name_Hall 'I -4 2bw'
_cell_length_a 5.8194
_cell_length_b 5.8194
_cell_length_c 18.0236
_cell_angle_alpha 90.00
_cell_angle_beta 90.00
_cell_angle_gamma 90.00
loop_
_atom_site_label
_atom_site_type_symbol
_atom_site_fract_x
_atom_site_fract_y
_atom_site_fract_z
_atom_site_occupancy
Rb1 Rb 0.0000 0.0000 0.0000 1
Hg1 Hg 0.0694 0.2500 0.6250 1
Pd1 Pd 0.0000 0.0000 0.5000 1
```


3.
Compound: AlCu2Mo
Source: the Alexandria database
Functional: GGA-PBE
Structure: relaxed

ΔH_f (0 K): 0.159 eV/atom

CIF file:
```
data_AlCu2Mo
_chemical_formula_sum 'Al4 Cu8 Mo4'
_symmetry_space_group_name_H-M 'F -4 3 m'
_symmetry_Int_Tables_number 216
_symmetry_space_group_name_Hall 'F -4 2 3'
_cell_length_a 6.0492
_cell_length_b 6.0492
_cell_length_c 6.0492
_cell_angle_alpha 90.00
_cell_angle_beta 90.00
_cell_angle_gamma 90.00
loop_
_atom_site_label
_atom_site_type_symbol
_atom_site_fract_x
_atom_site_fract_y
_atom_site_fract_z
_atom_site_occupancy
Al1 Al 0.0000 0.0000 0.0000 1
Cu1 Cu 0.0000 0.0000 0.5000 1
Cu2 Cu 0.2500 0.2500 0.2500 1
Mo1 Mo 0.2500 0.2500 0.7500 1
```


4.
Compound: UNiSe3
Source: the Alexandria database
Functional: GGA-PBE
Structure: relaxed

offset from the most stable computed form: 44 meV/atom
raw formation energy: -70.70 kJ per mole of atoms

CIF file:
```
data_UNiSe3
_chemical_formula_sum 'U2 Ni2 Se6'
_symmetry_space_group_name_H-M 'P 1 21/m 1'
_symmetry_Int_Tables_number 11
_cell_length_a 6.7877
_cell_length_b 3.8345
_cell_length_c 7.9764
_cell_angle_alpha 90.00
_cell_angle_beta 93.66
_cell_angle_gamma 90.00
loop_
_symmetry_equiv_pos_as_xyz
'x,y,z'
'-x,-y,-z'
'-x,y+1/2,-z'
'x,-y+1/2,z'
loop_
_atom_site_label
_atom_site_type_symbol
_atom_site_fract_x
_atom_site_fract_y
_atom_site_fract_z
_atom_site_occupancy
U1 U 0.1278 0.2500 0.2849 1
Ni1 Ni 0.3484 0.7500 0.8346 1
Se1 Se 0.1269 0.2500 0.8973 1
Se2 Se 0.2369 0.7500 0.5402 1
Se3 Se 0.4051 0.7500 0.1490 1
```


5.
Compound: PuPt2Rh
Source: the Alexandria database
Functional: GGA-PBE
Structure: relaxed

ΔH_f (0 K): -0.532 eV/atom
offset from the most stable computed form: 100 meV/atom

CIF file:
```
data_PuPt2Rh
_chemical_formula_sum 'Pu2 Pt4 Rh2'
_symmetry_space_group_name_H-M 'I 4/m m m'
_symmetry_Int_Tables_number 139
_symmetry_space_group_name_Hall '-I 4 2'
_cell_length_a 4.0204
_cell_length_b 4.0204
_cell_length_c 8.6751
_cell_angle_alpha 90.00
_cell_angle_beta 90.00
_cell_angle_gamma 90.00
loop_
_atom_site_label
_atom_site_type_symbol
_atom_site_fract_x
_atom_site_fract_y
_atom_site_fract_z
_atom_site_occupancy
Pu1 Pu 0.0000 0.0000 0.0000 1
Pt1 Pt 0.0000 0.5000 0.2500 1
Rh1 Rh 0.0000 0.0000 0.5000 1
```


What did we get for energy? Answer: -154.62 -28.59 -88.52 -62.37 -71.79 eV per cell, in the order shown.
What did we get for M_tot? Answer: 2.100 0.000 6.106 4.917 7.117 Bohr magnetons per cell, in the order shown.